Entry from Alexandria: a relaxed K2ZnGa3Ge4 crystal (PBE).

Unit cell a=4.592 b=4.592 c=10.659 alpha=90.00 beta=90.00 gamma=90.00
Positions (direct):
K 0.500 0.000 0.252
K 0.000 0.500 0.748
Zn 0.500 0.500 0.500
Ga 0.000 0.000 0.500
Ga 0.500 0.000 0.870
Ga 0.000 0.500 0.130
Ge 0.500 0.500 0.000
Ge 0.000 0.000 0.000
Ge 0.500 0.000 0.628
Ge 0.000 0.500 0.372

**Total DFT energy (no corrections)**: -0.236 Ry/atom
**D(E_F)**: 3.8 states/eV per cell
**Spin magnetization**: 0.00 μB/atom
**Formation energy from the elements**: -0.115 eV/atom

Entry from Alexandria: a relaxed La2GaGe3 crystal (PBE).

Unit cell a=6.197 b=6.197 c=8.738 alpha=111.72 beta=111.72 gamma=87.52
Positions (direct):
La 0.750 0.250 0.500
La 0.754 0.246 0.000
La 0.250 0.750 0.500
La 0.246 0.754 0.000
Ga 0.667 0.667 0.333
Ga 0.333 0.333 0.667
Ge 0.829 0.829 0.170
Ge 0.659 0.659 0.830
Ge 0.171 0.171 0.830
Ge 0.341 0.341 0.170
Ge 0.166 0.166 0.333
Ge 0.834 0.834 0.667

**Total DFT energy (no corrections)**: -0.378 Ry/atom
**D(E_F)**: 5.9 states/eV per cell
**Spin magnetization**: 0.00 μB/atom
**Formation energy from the elements**: -0.689 eV/atom